## w
RbVAg2: relaxed, PBE.

Unit cell a=5.260 b=5.260 c=5.260 alpha=60.00 beta=60.00 gamma=60.00
Atoms (fractional coordinates):
Rb (0.500, 0.500, 0.500)
Ag (0.750, 0.750, 0.750)
Ag (0.250, 0.250, 0.250)
V (0.000, 0.000, 0.000)

***

## x
RbVAg2: relaxed, PBE.

Unit cell a=8.280 b=8.280 c=6.766 alpha=52.27 beta=52.27 gamma=90.00
Atoms (fractional coordinates):
Rb (0.000, 0.000, 0.000)
Rb (0.750, 0.250, 0.500)
Ag (0.558, 0.125, 0.250)
Ag (0.192, 0.625, 0.250)
Ag (0.875, 0.808, 0.750)
Ag (0.375, 0.442, 0.750)
V (0.500, 0.500, 0.000)
V (0.250, 0.750, 0.500)

***

Result of the stability comparison: w is the least stable of them.

***

## w
RbVAg3: relaxed, PBE.

Unit cell a=5.631 b=5.631 c=5.631 alpha=90.00 beta=90.00 gamma=90.00
Atoms (fractional coordinates):
Ag (0.000, 0.500, 0.000)
Ag (0.500, 0.000, 0.000)
Ag (0.000, 0.000, 0.500)
V (0.500, 0.500, 0.500)
Rb (0.000, 0.000, 0.000)

***

## x
RbVAg3: relaxed, PBE.

Unit cell a=5.305 b=5.305 c=5.305 alpha=90.00 beta=90.00 gamma=90.00
Atoms (fractional coordinates):
Ag (0.500, 0.000, 0.000)
Ag (0.000, 0.000, 0.500)
Ag (0.000, 0.500, 0.000)
Rb (0.500, 0.500, 0.500)
V (0.000, 0.000, 0.000)

***

Result of the stability comparison: w is the least stable of them.

***

## w
Rb2AgW2: relaxed, PBE.

Unit cell a=4.194 b=4.194 c=8.651 alpha=75.97 beta=75.97 gamma=90.00
Atoms (fractional coordinates):
Ag (0.000, 0.000, 0.000)
Rb (0.750, 0.250, 0.500)
Rb (0.250, 0.750, 0.500)
W (0.566, 0.566, 0.869)
W (0.434, 0.434, 0.131)

***

## x
Rb2AgW2: relaxed, PBE.

Unit cell a=3.613 b=3.613 c=12.149 alpha=81.45 beta=81.45 gamma=90.00
Atoms (fractional coordinates):
Rb (0.607, 0.607, 0.786)
Rb (0.393, 0.393, 0.214)
W (0.250, 0.750, 0.500)
W (0.750, 0.250, 0.500)
Ag (0.000, 0.000, 0.000)

***

Result of the stability comparison: w is the least stable of them.

***

## w
RbAg2W: relaxed, PBE.

Unit cell a=5.202 b=5.202 c=5.202 alpha=60.00 beta=60.00 gamma=60.00
Atoms (fractional coordinates):
Ag (0.750, 0.750, 0.750)
Ag (0.250, 0.250, 0.250)
Rb (0.000, 0.000, 0.000)
W (0.500, 0.500, 0.500)

***

## x
RbAg2W: relaxed, PBE.

Unit cell a=5.496 b=5.496 c=10.430 alpha=74.72 beta=74.72 gamma=90.00
Atoms (fractional coordinates):
Ag (0.875, 0.126, 0.750)
Ag (0.874, 0.625, 0.250)
Ag (0.375, 0.124, 0.750)
Ag (0.876, 0.125, 0.250)
Rb (0.250, 0.750, 0.500)
Rb (0.500, 0.500, 0.000)
W (0.750, 0.250, 0.500)
W (0.000, 0.000, 0.000)

***

Result of the stability comparison: w is the least stable of them.

***

## w
RbYAg3: relaxed, PBE.

Unit cell a=5.551 b=5.551 c=5.551 alpha=90.00 beta=90.00 gamma=90.00
Atoms (fractional coordinates):
Ag (0.000, 0.500, 0.000)
Ag (0.000, 0.000, 0.500)
Ag (0.500, 0.000, 0.000)
Y (0.500, 0.500, 0.500)
Rb (0.000, 0.000, 0.000)

***

## x
RbYAg3: relaxed, PBE.

Unit cell a=5.740 b=5.740 c=5.740 alpha=90.00 beta=90.00 gamma=90.00
Atoms (fractional coordinates):
Y (0.000, 0.000, 0.000)
Ag (0.500, 0.000, 0.000)
Ag (0.000, 0.000, 0.500)
Ag (0.000, 0.500, 0.000)
Rb (0.500, 0.500, 0.500)

***

Result of the stability comparison: w is the least stable of them.

***

## w
Rb3YAg: relaxed, PBE.

Unit cell a=7.534 b=7.534 c=7.534 alpha=90.00 beta=90.00 gamma=90.00
Atoms (fractional coordinates):
Rb (0.000, 0.500, 0.000)
Rb (0.000, 0.000, 0.500)
Rb (0.500, 0.000, 0.000)
Ag (0.500, 0.500, 0.500)
Y (0.000, 0.000, 0.000)

***

## x
Rb3YAg: relaxed, PBE.

Unit cell a=6.762 b=6.762 c=6.762 alpha=90.00 beta=90.00 gamma=90.00
Atoms (fractional coordinates):
Y (0.500, 0.500, 0.500)
Rb (0.500, 0.000, 0.000)
Rb (0.000, 0.000, 0.500)
Rb (0.000, 0.500, 0.000)
Ag (0.000, 0.000, 0.000)

***

Result of the stability comparison: w is the least stable of them.

***

## w
Rb2ZnAg2: relaxed, PBE.

Unit cell a=6.907 b=6.907 c=6.298 alpha=56.74 beta=56.74 gamma=90.00
Atoms (fractional coordinates):
Ag (0.328, 0.328, 0.343)
Ag (0.672, 0.672, 0.657)
Rb (0.750, 0.250, 0.500)
Rb (0.250, 0.750, 0.500)
Zn (0.000, 0.000, 0.000)

***

## x
Rb2ZnAg2: relaxed, PBE.

Unit cell a=3.991 b=3.991 c=11.367 alpha=79.89 beta=79.89 gamma=90.00
Atoms (fractional coordinates):
Ag (0.250, 0.750, 0.500)
Ag (0.750, 0.250, 0.500)
Rb (0.614, 0.614, 0.772)
Rb (0.386, 0.386, 0.228)
Zn (0.000, 0.000, 0.000)

***

## y
Rb2ZnAg2: relaxed, PBE.

Unit cell a=7.537 b=7.537 c=5.609 alpha=90.00 beta=90.00 gamma=90.00
Atoms (fractional coordinates):
Ag (0.135, 0.365, 0.000)
Ag (0.365, 0.865, 0.000)
Ag (0.635, 0.135, 0.000)
Ag (0.865, 0.635, 0.000)
Rb (0.322, 0.178, 0.500)
Rb (0.678, 0.822, 0.500)
Rb (0.178, 0.678, 0.500)
Rb (0.822, 0.322, 0.500)
Zn (0.500, 0.500, 0.000)
Zn (0.000, 0.000, 0.000)

***

Result of the stability comparison: x is the least stable of them.

***

## w
RbZnAg3: relaxed, PBE.

Unit cell a=6.274 b=6.274 c=6.274 alpha=90.00 beta=90.00 gamma=90.00
Atoms (fractional coordinates):
Rb (0.000, 0.000, 0.000)
Ag (0.000, 0.500, 0.000)
Ag (0.000, 0.000, 0.500)
Ag (0.500, 0.000, 0.000)
Zn (0.500, 0.500, 0.500)

***

## x
RbZnAg3: relaxed, PBE.

Unit cell a=5.139 b=5.139 c=5.139 alpha=90.00 beta=90.00 gamma=90.00
Atoms (fractional coordinates):
Ag (0.500, 0.000, 0.000)
Ag (0.000, 0.000, 0.500)
Ag (0.000, 0.500, 0.000)
Zn (0.000, 0.000, 0.000)
Rb (0.500, 0.500, 0.500)

***

## y
RbZnAg3: relaxed, PBE.

Unit cell a=7.728 b=9.560 c=9.560 alpha=129.32 beta=106.32 gamma=73.68
Atoms (fractional coordinates):
Zn (0.857, 0.092, 0.455)
Zn (0.643, 0.455, 0.092)
Zn (0.143, 0.908, 0.545)
Zn (0.357, 0.545, 0.908)
Ag (0.054, 0.672, 0.050)
Ag (0.675, 0.655, 0.982)
Ag (0.446, 0.050, 0.672)
Ag (0.946, 0.328, 0.950)
Ag (0.175, 0.018, 0.345)
Ag (0.554, 0.950, 0.328)
Ag (0.604, 0.298, 0.684)
Ag (0.896, 0.684, 0.298)
Ag (0.825, 0.982, 0.655)
Ag (0.396, 0.702, 0.316)
Ag (0.325, 0.345, 0.018)
Ag (0.104, 0.316, 0.702)
Rb (0.250, 0.426, 0.426)
Rb (0.250, 0.933, 0.933)
Rb (0.750, 0.574, 0.574)
Rb (0.750, 0.067, 0.067)

***

Result of the stability comparison: w is the least stable of them.

***

## w
RbZn2Ag2: relaxed, PBE.

Unit cell a=4.812 b=4.812 c=6.382 alpha=67.85 beta=67.85 gamma=90.00
Atoms (fractional coordinates):
Ag (0.634, 0.634, 0.731)
Ag (0.366, 0.366, 0.269)
Zn (0.750, 0.250, 0.500)
Zn (0.250, 0.750, 0.500)
Rb (0.000, 0.000, 0.000)

***

## x
RbZn2Ag2: relaxed, PBE.

Unit cell a=8.480 b=8.480 c=2.982 alpha=90.00 beta=90.00 gamma=90.00
Atoms (fractional coordinates):
Ag (0.174, 0.674, 0.500)
Ag (0.326, 0.174, 0.500)
Ag (0.674, 0.826, 0.500)
Ag (0.826, 0.326, 0.500)
Zn (0.114, 0.386, 0.000)
Zn (0.614, 0.114, 0.000)
Zn (0.886, 0.614, 0.000)
Zn (0.386, 0.886, 0.000)
Rb (0.000, 0.000, 0.000)
Rb (0.500, 0.500, 0.000)

***

Result of the stability comparison: x is the least stable of them.

***

## w
RbZr3Ag: relaxed, PBE.

Unit cell a=5.364 b=5.364 c=5.364 alpha=90.00 beta=90.00 gamma=90.00
Atoms (fractional coordinates):
Zr (0.500, 0.000, 0.000)
Zr (0.000, 0.500, 0.000)
Zr (0.000, 0.000, 0.500)
Ag (0.000, 0.000, 0.000)
Rb (0.500, 0.500, 0.500)

***

## x
RbZr3Ag: relaxed, PBE.

Unit cell a=5.040 b=5.040 c=5.040 alpha=90.00 beta=90.00 gamma=90.00
Atoms (fractional coordinates):
Rb (0.000, 0.000, 0.000)
Zr (0.000, 0.500, 0.000)
Zr (0.500, 0.000, 0.000)
Zr (0.000, 0.000, 0.500)
Ag (0.500, 0.500, 0.500)

***

Result of the stability comparison: x is the least stable of them.

***

## w
RbZrAg3: relaxed, PBE.

Unit cell a=5.526 b=5.526 c=5.526 alpha=90.00 beta=90.00 gamma=90.00
Atoms (fractional coordinates):
Rb (0.500, 0.500, 0.500)
Ag (0.500, 0.000, 0.000)
Ag (0.000, 0.000, 0.500)
Ag (0.000, 0.500, 0.000)
Zr (0.000, 0.000, 0.000)

***

## x
RbZrAg3: relaxed, PBE.

Unit cell a=5.439 b=5.439 c=5.439 alpha=90.00 beta=90.00 gamma=90.00
Atoms (fractional coordinates):
Rb (0.000, 0.000, 0.000)
Ag (0.000, 0.500, 0.000)
Ag (0.000, 0.000, 0.500)
Ag (0.500, 0.000, 0.000)
Zr (0.500, 0.500, 0.500)

***

Result of the stability comparison: x is the least stable of them.